Computed, not measured: a relaxed structure of LaMg6B at the PBE level of DFT.

Output
D(E_F) = 3.08 states/eV/cell
Excess energy over the best structure of this formula in the dataset = 0.0170 eV/atom
Magnetization = 0.000 μB per atom
DFT formation energy = 233 meV per atom
Final energy = -19.31 eV/f.u.
Crystal system = orthorhombic

abc: 7.7074 7.7074 4.2006
angles: 90.00 90.00 133.63
Atoms (fractional coordinates):
La 0.2245 0.7755 0.0000
Mg 0.6582 0.8161 0.0000
Mg 0.1839 0.3418 0.0000
Mg 0.6450 0.3550 0.0000
Mg 0.8136 0.7039 0.5000
Mg 0.2961 0.1864 0.5000
Mg 0.8010 0.1990 0.5000
B 0.3777 0.6223 0.5000



Computed, not measured: a relaxed structure of TbSm2Dy3Er6 at the PBE level of DFT.

Output
D(E_F) = 15.59 states/eV/cell
Magnetization = 0.000 μB per atom
DFT formation energy = 18 meV per atom
Final energy = -55.03 eV/f.u.
Crystal system = monoclinic

abc: 6.1302 6.1302 11.7007
angles: 94.99 94.99 119.95
Atoms (fractional coordinates):
Tb 0.0000 0.0000 0.0000
Sm 0.3334 0.6666 0.0000
Sm 0.6666 0.3334 0.0000
Dy 0.1666 0.8334 0.5000
Dy 0.8334 0.1666 0.5000
Dy 0.5000 0.5000 0.5000
Er 0.9156 0.5825 0.7484
Er 0.7515 0.7515 0.2517
Er 0.0844 0.4175 0.2516
Er 0.5825 0.9156 0.7484
Er 0.2485 0.2485 0.7483
Er 0.4175 0.0844 0.2516



Computed, not measured: a relaxed structure of PmPuAg2O6 at the PBE level of DFT.

Output
Magnetization = 0.092 μB per atom
Final energy = -73.59 eV/f.u.
Crystal system = trigonal
Formation energy (no corrections) = -1.91 eV/atom

abc: 5.8444 5.8445 6.0453
angles: 61.10 61.10 60.01
Each line ends with the local moment (μB).
Atoms (fractional coordinates):
Pm 0.8162 0.8162 0.5515  -0.01
Pu 0.3162 0.3162 0.0515  1.46
Ag 0.5609 0.5611 0.3172  -0.04
Ag 0.0714 0.0712 0.7860  -0.04
O 0.5404 0.1935 0.2873  -0.07
O 0.1935 0.9788 0.2872  -0.07
O 0.9789 0.5404 0.2872  -0.07
O 0.4389 0.6535 0.8158  -0.07
O 0.6535 0.0920 0.8157  -0.07
O 0.0919 0.4388 0.8157  -0.07



Computed, not measured: a relaxed structure of Pa2Ni5P at the PBE level of DFT.

Output
D(E_F) = 6.85 states/eV/cell
Magnetization = 0.000 μB per atom
DFT formation energy = -357 meV per atom
Final energy = -56.17 eV/f.u.
Crystal system = tetragonal

abc: 5.8881 5.8881 5.8881
angles: 77.62 127.39 127.39
Atoms (fractional coordinates):
Pa 0.5000 0.2703 0.7703
Pa 0.5000 0.7703 0.2703
Ni 0.4636 0.7553 0.7553
Ni 0.0000 0.7553 0.2917
Ni 0.0000 0.2917 0.7553
Ni 0.5364 0.2917 0.2917
Ni 0.0000 0.1831 0.1831
P 0.0000 0.9045 0.9045



Computed, not measured: a relaxed structure of ZnGa2Cu7Au2 at the PBE level of DFT.

Output
D(E_F) = 3.45 states/eV/cell
Magnetization = 0.000 μB per atom
DFT formation energy = -3 meV per atom
Final energy = -42.59 eV/f.u.
Crystal system = monoclinic

abc: 3.5201 3.5201 14.3636
angles: 83.40 83.40 89.87
Atoms (fractional coordinates):
Zn 0.0000 0.0000 0.0000
Ga 0.8284 0.8284 0.3637
Ga 0.1716 0.1716 0.6363
Cu 0.5000 0.5000 0.0000
Cu 0.2660 0.2660 0.4635
Cu 0.7340 0.7340 0.5365
Cu 0.9383 0.4383 0.1349
Cu 0.4383 0.9383 0.1349
Cu 0.5617 0.0617 0.8651
Cu 0.0617 0.5617 0.8651
Au 0.6269 0.6269 0.7232
Au 0.3731 0.3731 0.2768



Computed, not measured: a relaxed structure of TiOs2PtPb at the PBE level of DFT.

Output
D(E_F) = 4.81 states/eV/cell
Magnetization = 0.000 μB per atom
DFT formation energy = 2335 meV per atom
Final energy = -28.43 eV/f.u.
Crystal system = tetragonal

abc: 4.9260 4.8682 4.9260
angles: 90.00 90.00 90.00
Atoms (fractional coordinates):
Pb 0.0000 0.0000 0.0000
Os 0.0000 0.0000 0.5000
Os 0.5000 0.0000 0.0000
Pt 0.0000 0.5000 0.0000
Ti 0.5000 0.5000 0.5000



Computed, not measured: a relaxed structure of TbEr2Zn6 at the PBE level of DFT.

Output
D(E_F) = 5.83 states/eV/cell
Magnetization = 0.000 μB per atom
DFT formation energy = -381 meV per atom
Final energy = -24.83 eV/f.u.
Crystal system = hexagonal

abc: 3.4776 7.7320 7.7308
angles: 120.01 90.00 90.00
Atoms (fractional coordinates):
Tb 0.0000 0.0000 0.0000
Er 0.0000 0.3334 0.6668
Er 0.0000 0.6666 0.3332
Zn 0.4994 0.3344 0.3345
Zn 0.5006 0.6656 0.6655
Zn 0.5006 0.0000 0.6655
Zn 0.5000 0.6656 0.0000
Zn 0.5000 0.3344 0.0000
Zn 0.4994 0.0000 0.3345



Computed, not measured: a relaxed structure of CaCd4Ga4 at the PBE level of DFT.

Output
D(E_F) = 8.48 states/eV/cell
Magnetization = 0.000 μB per atom
DFT formation energy = -99 meV per atom
Final energy = -18.66 eV/f.u.
Crystal system = tetragonal

abc: 5.9639 5.9639 11.4184
angles: 90.00 90.00 90.00
Atoms (fractional coordinates):
Ca 0.0000 0.0000 0.0000
Ca 0.5000 0.5000 0.5000
Cd 0.2461 0.5000 0.7788
Cd 0.7539 0.5000 0.7788
Cd 0.5000 0.7539 0.2212
Cd 0.5000 0.2461 0.2212
Cd 0.0000 0.7461 0.2788
Cd 0.0000 0.2539 0.2788
Cd 0.2539 0.0000 0.7212
Cd 0.7461 0.0000 0.7212
Ga 0.5000 0.7885 0.9559
Ga 0.5000 0.2115 0.9559
Ga 0.7885 0.5000 0.0441
Ga 0.2115 0.5000 0.0441
Ga 0.2885 0.0000 0.4559
Ga 0.7115 0.0000 0.4559
Ga 0.0000 0.2885 0.5441
Ga 0.0000 0.7115 0.5441



Computed, not measured: a relaxed structure of ScPdRu3 at the PBE level of DFT.

Output
D(E_F) = 5.37 states/eV/cell
Excess energy over the best structure of this formula in the dataset = 0.0000 eV/atom
Magnetization = 0.927 μB per atom
DFT formation energy = 1453 meV per atom
Final energy = -32.09 eV/f.u.
Crystal system = cubic

abc: 4.7250 4.7250 4.7250
angles: 90.00 90.00 90.00
Each line ends with the local moment (μB).
Atoms (fractional coordinates):
Sc 0.5000 0.5000 0.5000  -0.18
Ru 0.0000 0.5000 0.0000  1.43
Ru 0.0000 0.0000 0.5000  1.87
Ru 0.5000 0.0000 0.0000  0.91
Pd 0.0000 0.0000 0.0000  0.58



Computed, not measured: a relaxed structure of Li2ReBr at the PBE level of DFT.

Output
D(E_F) = 2.02 states/eV/cell
Excess energy over the best structure of this formula in the dataset = 0.3489 eV/atom
Magnetization = 0.000 μB per atom
Final energy = -16.14 eV/f.u.
Crystal system = monoclinic
Formation energy (no corrections) = 0.45 eV/atom

abc: 4.8204 4.8204 4.8146
angles: 71.96 71.96 36.10
Atoms (fractional coordinates):
Br 0.2583 0.2583 0.3285
Li 0.9828 0.9828 0.9520
Li 0.7431 0.7431 0.7865
Re 0.5157 0.5157 0.4330



Computed, not measured: a relaxed structure of YGa4NiPt2 at the PBE level of DFT.

Output
D(E_F) = 3.62 states/eV/cell
Magnetization = 0.000 μB per atom
DFT formation energy = -651 meV per atom
Final energy = -41.64 eV/f.u.
Crystal system = trigonal

abc: 4.2575 4.2575 8.8946
angles: 76.15 76.15 60.00
Atoms (fractional coordinates):
Y 0.0000 0.0000 0.0000
Ga 0.3994 0.3994 0.8019
Ga 0.8647 0.8647 0.4058
Ga 0.1353 0.1353 0.5942
Ga 0.6006 0.6006 0.1981
Ni 0.5000 0.5000 0.5000
Pt 0.7594 0.7594 0.7217
Pt 0.2406 0.2406 0.2783



Computed, not measured: a relaxed structure of Ca4Tb3CeSe8 at the PBE level of DFT.

Output
D(E_F) = 9.80 states/eV/cell
Magnetization = 0.093 μB per atom
Final energy = -85.73 eV/f.u.
Crystal system = trigonal
Formation energy (no corrections) = -1.88 eV/atom

abc: 8.2657 8.3845 8.2657
angles: 119.53 120.00 90.00
Each line ends with the local moment (μB).
Atoms (fractional coordinates):
Ca 0.5000 0.0000 0.0000  0.01
Ca 0.5000 0.0000 0.5000  0.00
Ca 0.0000 0.0000 0.0000  0.00
Ca 0.0000 0.0000 0.5000  0.00
Tb 0.5000 0.5000 0.0000  0.05
Tb 0.5000 0.5000 0.5000  0.05
Tb 0.0000 0.5000 0.5000  0.05
Ce 0.0000 0.5000 0.0000  1.01
Se 0.2526 0.7504 0.9978  0.00
Se 0.2526 0.7504 0.5053  0.00
Se 0.2513 0.2538 0.5026  0.00
Se 0.7452 0.7504 0.9978  0.00
Se 0.2548 0.2496 0.0022  0.00
Se 0.7487 0.7462 0.4974  0.00
Se 0.7474 0.2496 0.4947  0.00
Se 0.7474 0.2496 0.0022  0.00